5
Lattice="3.7714 0.0000 0.0000 0.0000 3.7714 0.0000 0.0000 0.0000 5.9143" Properties=species:S:1:pos:R:3 comment="IrIN2F GGA-PBE relaxed" dos_ef_per_ev_atom=0.692 relative_energy_mev_per_atom=0 mass_density_g_cm3=7.23 pbc="T T T"
I 0.0000 0.0000 2.9571
N 0.0000 1.8857 0.0000
N 1.8857 0.0000 0.0000
Ir 0.0000 0.0000 0.0000
F 1.8857 1.8857 2.9571


5
Lattice="3.9690 0.0000 0.0000 0.0000 3.9690 0.0000 0.0000 0.0000 4.3374" Properties=species:S:1:pos:R:3 comment="IrIN2F GGA-PBE relaxed" dos_ef_per_ev_atom=0.573 relative_energy_mev_per_atom=171 mass_density_g_cm3=8.90 pbc="T T T"
I 1.9845 1.9845 2.1687
N 0.0000 1.9845 0.0000
N 1.9845 0.0000 0.0000
Ir 0.0000 0.0000 0.0000
F 0.0000 0.0000 2.1687


5
Lattice="3.8271 0.0000 0.0000 0.0000 3.8271 0.0000 0.0000 0.0000 6.0617" Properties=species:S:1:pos:R:3 comment="IrIN2F GGA-PBE relaxed" dos_ef_per_ev_atom=0.778 relative_energy_mev_per_atom=1826 mass_density_g_cm3=6.85 pbc="T T T"
I 0.0000 0.0000 3.0309
N 0.0000 1.9135 0.0000
N 1.9135 0.0000 0.0000
Ir 1.9135 1.9135 3.0309
F 0.0000 0.0000 0.0000


16
Lattice="8.3902 0.0000 0.0000 0.0000 9.4364 0.7192 -4.1951 -4.1927 5.9476" Properties=species:S:1:pos:R:3 comment="Nd8Ir3I4F GGA-PBE relaxed" dos_ef_per_ev_atom=0.411 total_energy_ev_per_atom=-5.66 mass_density_g_cm3=7.55 pbc="T T T"
Nd -2.0162 2.4894 6.1494
Nd 0.0000 4.5038 3.3041
Nd 0.0000 0.7009 3.4647
Nd 2.0162 2.4894 6.1494
Nd 2.1790 2.7543 0.5175
Nd 4.1951 4.5428 3.2021
Nd 4.1951 0.7399 3.3628
Nd 6.2113 2.7543 0.5175
Ir 4.1951 4.7182 0.3596
Ir 2.0976 2.6219 3.3334
Ir -2.0976 2.6219 3.3334
I 4.1951 0.0000 0.0000
I 2.0976 -2.0963 2.9738
I 0.0000 0.0000 0.0000
I -2.0976 -2.0963 2.9738
F 0.0000 4.7182 0.3596


5
Lattice="-0.2552 3.6865 -1.4721 -3.9688 -0.2079 0.1674 0.1116 2.1127 5.2714" Properties=species:S:1:pos:R:3 comment="IrIO2F GGA-PBE relaxed" dos_ef_per_ev_atom=1.139 total_energy_ev_per_atom=-3.59 mass_density_g_cm3=6.84 pbc="T T T"
I 0.0000 0.0000 0.0000
Ir -2.0562 2.7956 1.9834
O -1.9844 -0.1040 0.0837
O -0.1276 1.8432 -0.7360
F 0.0558 1.0564 2.6357


5
Lattice="-3.0444 1.3662 -1.7742 -2.1541 -0.9693 2.9500 0.9316 5.1623 2.3765" Properties=species:S:1:pos:R:3 comment="IrIO2F GGA-PBE relaxed" dos_ef_per_ev_atom=0.759 total_energy_ev_per_atom=-4.79 mass_density_g_cm3=7.47 pbc="T T T"
I 0.4658 2.5812 1.1883
Ir 0.0000 0.0000 0.0000
O -1.0771 -0.4847 1.4750
O -1.5222 0.6831 -0.8871
F -2.1334 2.7796 1.7762


5
Lattice="5.5151 0.0000 0.0000 0.0000 5.5151 0.0000 0.0000 0.0000 3.7017" Properties=species:S:1:pos:R:3 comment="IrI2OF GGA-PBE relaxed" dos_ef_per_ev_atom=1.347 relative_energy_mev_per_atom=0 mass_density_g_cm3=7.09 pbc="T T T"
I 0.0000 2.7575 0.0000
I 2.7575 0.0000 0.0000
Ir 0.0000 0.0000 0.0000
O 0.0000 0.0000 1.8509
F 2.7575 2.7575 1.8509


5
Lattice="3.7036 0.0000 0.0000 0.0000 3.7036 0.0000 0.0000 0.0000 7.7890" Properties=species:S:1:pos:R:3 comment="IrIO2F GGA-PBE relaxed" dos_ef_per_ev_atom=1.063 total_energy_ev_per_atom=-4.80 mass_density_g_cm3=5.75 pbc="T T T"
I 1.8518 1.8518 3.8945
Ir 0.0000 0.0000 0.0000
O 0.0000 1.8518 0.0000
O 1.8518 0.0000 0.0000
F 0.0000 0.0000 3.8945


5
Lattice="-0.8426 1.5721 3.7841 1.2830 -3.5678 1.7679 3.9964 1.5575 0.2428" Properties=species:S:1:pos:R:3 comment="IrIO2F GGA-PBE relaxed" dos_ef_per_ev_atom=0.658 total_energy_ev_per_atom=-3.06 mass_density_g_cm3=8.17 pbc="T T T"
I 1.9982 0.7788 0.1214
Ir 2.2185 -0.2191 2.8974
O 0.6415 -1.7839 0.8839
O -0.4213 0.7860 1.8920
F 0.0000 0.0000 0.0000


5
Lattice="5.1123 0.0000 0.0000 0.0000 5.1123 0.0000 0.0000 0.0000 3.5356" Properties=species:S:1:pos:R:3 comment="IrI2OF GGA-PBE relaxed" dos_ef_per_ev_atom=1.158 relative_energy_mev_per_atom=1259 mass_density_g_cm3=8.64 pbc="T T T"
I 0.0000 2.5561 0.0000
I 2.5561 0.0000 0.0000
Ir 2.5561 2.5561 1.7678
O 0.0000 0.0000 1.7678
F 0.0000 0.0000 0.0000


16
Lattice="8.4438 0.0000 0.0000 0.0000 9.5002 0.7262 -4.2219 -4.2195 5.9822" Properties=species:S:1:pos:R:3 comment="Pr8Ir3I4F GGA-PBE relaxed" dos_ef_per_ev_atom=0.449 total_energy_ev_per_atom=-5.66 mass_density_g_cm3=7.32 pbc="T T T"
Pr -2.0307 2.5115 6.1926
Pr 0.0000 4.5406 3.3220
Pr 0.0000 0.7038 3.4821
Pr 2.0307 2.5115 6.1926
Pr 2.1912 2.7692 0.5158
Pr 4.2219 4.5769 3.2263
Pr 4.2219 0.7401 3.3863
Pr 6.2526 2.7692 0.5158
Ir 4.2219 4.7501 0.3631
Ir 2.1109 2.6404 3.3542
Ir -2.1109 2.6404 3.3542
I 4.2219 0.0000 0.0000
I 2.1109 -2.1097 2.9911
I 0.0000 0.0000 0.0000
I -2.1109 -2.1097 2.9911
F 0.0000 4.7501 0.3631


10
Lattice="8.3820 0.0000 0.0000 0.0000 8.3820 0.0000 4.1910 4.1910 5.1922" Properties=species:S:1:pos:R:3 comment="Rb2IrI6F GGA-PBE relaxed" dos_ef_per_ev_atom=1.351 total_energy_ev_per_atom=-2.91 mass_density_g_cm3=5.21 pbc="T T T"
I 4.1910 4.1910 2.4274
I 8.3820 8.3820 2.7647
I 1.8953 1.8953 0.0000
I 6.4867 6.4867 0.0000
I 6.4867 1.8953 0.0000
I 1.8953 6.4867 0.0000
Ir 0.0000 0.0000 0.0000
Rb 8.3820 4.1910 2.5961
Rb 4.1910 8.3820 2.5961
F 4.1910 4.1910 0.0000


5
Lattice="5.3557 0.0000 0.0000 0.0000 4.8029 0.0000 0.0000 0.0000 5.3557" Properties=species:S:1:pos:R:3 comment="IrRhI2F GGA-PBE relaxed" dos_ef_per_ev_atom=1.755 total_energy_ev_per_atom=-3.54 mass_density_g_cm3=6.85 pbc="T T T"
I 0.0000 0.0000 2.6779
I 2.6779 0.0000 0.0000
Ir 0.0000 0.0000 0.0000
Rh 0.0000 2.4014 0.0000
F 2.6779 2.4014 2.6779


5
Lattice="-0.8911 4.1406 -3.5161 -3.2811 -3.2500 -2.9957 -3.9349 1.4641 2.7214" Properties=species:S:1:pos:R:3 comment="SbIrI2F GGA-PBE relaxed" dos_ef_per_ev_atom=1.473 relative_energy_mev_per_atom=0 mass_density_g_cm3=6.43 pbc="T T T"
I -1.6405 -1.6250 -1.4978
I -0.4456 2.0703 -1.7580
Sb -1.9674 0.7320 1.3607
Ir 0.0000 0.0000 0.0000
F -4.0535 1.1774 -1.8952


5
Lattice="-0.4386 -4.5729 -0.1925 4.1452 -0.4789 1.9309 -2.2877 0.0125 4.9144" Properties=species:S:1:pos:R:3 comment="Sb2IrIF GGA-PBE relaxed" dos_ef_per_ev_atom=0.796 relative_energy_mev_per_atom=407 mass_density_g_cm3=8.43 pbc="T T T"
I -1.1439 0.0063 2.4572
Sb 2.0726 -0.2394 0.9654
Sb -0.2193 -2.2864 -0.0963
Ir 0.7095 -2.5196 3.3264
F 0.0000 0.0000 0.0000


5
Lattice="-4.1337 -1.8986 -3.2112 3.0602 -4.4669 -1.2983 -1.6001 -2.0465 3.2697" Properties=species:S:1:pos:R:3 comment="SbIrI2F GGA-PBE relaxed" dos_ef_per_ev_atom=0.945 relative_energy_mev_per_atom=485 mass_density_g_cm3=7.53 pbc="T T T"
I 1.5301 -2.2335 -0.6491
I -2.0669 -0.9493 -1.6056
Sb -0.8000 -1.0233 1.6349
Ir -1.3368 -4.2060 -0.6199
F 0.0000 0.0000 0.0000


5
Lattice="5.0768 0.0000 0.0000 0.0000 5.0768 0.0000 0.0000 0.0000 5.6370" Properties=species:S:1:pos:R:3 comment="Sb2IrIF GGA-PBE relaxed" dos_ef_per_ev_atom=1.359 relative_energy_mev_per_atom=0 mass_density_g_cm3=6.65 pbc="T T T"
I 0.0000 0.0000 2.8185
Sb 0.0000 2.5384 0.0000
Sb 2.5384 0.0000 0.0000
Ir 0.0000 0.0000 0.0000
F 2.5384 2.5384 2.8185


5
Lattice="-4.0178 0.3212 -1.6563 0.8168 -4.3264 -2.8201 -1.5438 -2.4258 3.2744" Properties=species:S:1:pos:R:3 comment="SbIr2IF GGA-PBE relaxed" dos_ef_per_ev_atom=0.998 total_energy_ev_per_atom=-3.96 mass_density_g_cm3=10.91 pbc="T T T"
I 0.4084 -2.1632 -1.4101
Sb -2.3724 -3.2155 -0.6010
Ir -0.7719 -1.2129 1.6372
Ir -2.0089 0.1606 -0.8282
F 0.0000 0.0000 0.0000


5
Lattice="5.6116 0.0000 0.0000 0.0000 3.9290 0.0000 0.0000 0.0000 5.6116" Properties=species:S:1:pos:R:3 comment="ScIrI2F GGA-PBE relaxed" dos_ef_per_ev_atom=0.702 total_energy_ev_per_atom=-4.50 mass_density_g_cm3=6.84 pbc="T T T"
I 0.0000 0.0000 2.8058
I 2.8058 0.0000 0.0000
Sc 0.0000 0.0000 0.0000
Ir 2.8058 1.9645 2.8058
F 0.0000 1.9645 0.0000


5
Lattice="-3.3685 2.8660 -0.5746 0.4232 -0.5478 -5.2132 -2.9009 -3.3854 0.1202" Properties=species:S:1:pos:R:3 comment="SnIrIF2 GGA-PBE relaxed" dos_ef_per_ev_atom=0.450 total_energy_ev_per_atom=-3.97 mass_density_g_cm3=7.55 pbc="T T T"
I 0.2116 -0.2739 -2.6066
Ir 0.0000 0.0000 0.0000
Sn -2.9231 -0.5336 -2.8338
F -1.4505 -1.6927 0.0601
F -1.6843 1.4330 -0.2873


12
Lattice="6.6216 -0.4224 0.0000 1.4533 6.6201 0.0000 0.7267 3.3100 5.9793" Properties=species:S:1:pos:R:3 comment="K5IF6 GGA-PBE relaxed" dos_ef_per_ev_atom=0.000 total_energy_ev_per_atom=-3.88 mass_density_g_cm3=2.73 pbc="T T T"
K 4.0375 3.0989 3.9649
K 0.7267 3.3100 2.2330
K 4.0375 3.0988 0.0000
K 1.4533 6.6201 3.7462
K 4.7641 6.4089 2.0144
I 0.0000 0.0000 0.0000
F 5.1161 1.7106 2.1349
F 2.9589 4.4871 2.1349
F 1.5674 1.4863 0.0000
F 6.5075 4.7114 0.0000
F 5.8427 5.0207 3.8443
F 3.6855 7.7971 3.8443


5
Lattice="5.2347 -0.2799 0.4828 0.4141 5.2258 0.4828 -0.3197 -0.2799 5.2472" Properties=species:S:1:pos:R:3 comment="KIF3 GGA-PBE relaxed" dos_ef_per_ev_atom=0.009 relative_energy_mev_per_atom=121 mass_density_g_cm3=2.54 pbc="T T T"
K 1.2600 1.1032 1.4689
I 4.5855 4.0149 5.3459
F 3.8025 0.5503 1.2216
F 1.0478 3.6965 1.2216
F 0.6285 0.5503 3.9442


5
Lattice="4.8344 0.0000 0.0000 0.0000 4.8344 0.0000 2.4172 2.4172 6.1723" Properties=species:S:1:pos:R:3 comment="K2IF2 GGA-PBE relaxed" dos_ef_per_ev_atom=1.219 total_energy_ev_per_atom=-3.37 mass_density_g_cm3=2.80 pbc="T T T"
I 0.0000 0.0000 0.0000
K 2.4172 2.4172 2.1829
K 4.8344 4.8344 3.9894
F 4.8344 2.4172 3.0862
F 2.4172 4.8344 3.0862


10
Lattice="-3.2983 3.3056 5.3684 2.3802 -2.4325 7.6753 3.7519 7.0066 2.7060" Properties=species:S:1:pos:R:3 comment="K5I4F GGA-PBE relaxed" dos_ef_per_ev_atom=0.000 total_energy_ev_per_atom=-3.03 mass_density_g_cm3=2.91 pbc="T T T"
K 0.8992 8.0008 9.8023
K 3.5747 3.4478 9.5345
K -0.7625 4.4535 6.2504
K 1.9130 -0.0995 5.9826
K -1.3747 1.3777 2.2374
I 2.5357 5.9671 7.3763
I 1.5071 5.0014 12.0541
I 1.2831 2.9220 3.7666
I 0.2544 1.9563 8.4444
F -0.1781 0.1785 0.2898


6
Lattice="-0.0768 0.1998 -4.4648 2.1198 -6.5572 -0.3299 -7.8696 0.9639 2.4161" Properties=species:S:1:pos:R:3 comment="K3I2F GGA-PBE relaxed" dos_ef_per_ev_atom=0.000 relative_energy_mev_per_atom=77 mass_density_g_cm3=2.92 pbc="T T T"
K -5.1179 -1.6552 0.0140
K 0.0000 0.0000 0.0000
K -0.7087 -3.7383 -2.3926
I -2.4549 -0.6816 -2.2258
I -3.3717 -4.7118 -0.1528
F 1.0599 -3.2786 -0.1649


11
Lattice="6.9119 0.0143 0.0163 -0.4582 5.7620 -0.0282 -0.4582 -0.7945 5.7071" Properties=species:S:1:pos:R:3 comment="K2I2F7 GGA-PBE relaxed" dos_ef_per_ev_atom=0.176 total_energy_ev_per_atom=-3.37 mass_density_g_cm3=3.40 pbc="T T T"
K -0.4582 0.8646 4.2558
K -0.4582 4.1029 1.4231
I 3.1313 1.5393 1.7597
I 2.8642 3.4426 3.9355
F 4.6341 4.5678 3.3069
F 1.3614 2.3120 0.7281
F 1.3614 0.4141 2.3883
F 4.6341 2.6698 4.9671
F 3.4560 0.0071 0.0082
F 0.8178 3.2330 3.6959
F 5.1777 1.7489 1.9993